The following is a PBE calculation of a relaxed Tl4OF3 crystal, from the Alexandria database.

Properties
Formation energy from raw total energies in eV/atom: -1.329
Density in Mg/m³: 7.95
Volume in Å³ per atom: 23.3

CIF file:
```
data_Tl4OF3
_cell_length_a 8.6572
_cell_length_b 7.0505
_cell_length_c 6.0953
_cell_angle_alpha 90.00
_cell_angle_beta 90.00
_cell_angle_gamma 90.00
_space_group_name_H-M_alt 'P m n 21'
_space_group_IT_number 31
loop_
_space_group_symop_operation_xyz
'x,y,z'
'-x+1/2,-y,z+1/2'
'-x,y,z'
'x+1/2,-y,z+1/2'
loop_
_atom_site_label
_atom_site_type_symbol
_atom_site_fract_x
_atom_site_fract_y
_atom_site_fract_z
Tl1 Tl 0.0000 0.1691 0.0000
Tl2 Tl 0.0000 0.7308 0.4541
Tl3 Tl 0.2482 0.2688 0.4403
O1 O 0.0000 0.8500 0.0720
F1 F 0.0000 0.0652 0.6256
F2 F 0.2017 0.3585 0.8395
```